No. 1
NdGa2Tc2P: optimized geometry, PBE.

a = 4.453 Å, b = 4.453 Å, c = 5.680 Å
α = 90.00°, β = 90.00°, γ = 90.00°
Space group P4/mmm (No. 123)
Asymmetric unit:
1 Nd 0.000 0.000 0.000
2 Ga 0.500 0.500 0.228
3 Tc 0.000 0.500 0.500
4 P 0.000 0.000 0.500

Summary:
Formation enthalpy at 0 K, eV per atom: -0.49
Uncorrected energy, eV/atom: -6.646

No. 2
Ac10La4Pr: optimized geometry, PBE.

a = 10.711 Å, b = 10.711 Å, c = 11.499 Å
α = 90.00°, β = 90.00°, γ = 90.00°
Space group I4/m (No. 87)
Asymmetric unit:
1 Ac 0.000 0.500 0.250
2 Ac 0.119 0.793 0.159
3 La 0.054 0.673 0.500
4 Pr 0.000 0.000 0.500

Summary:
Formation enthalpy at 0 K, eV per atom: 0.34
Uncorrected energy, eV/atom: -4.033

No. 3
SrDy2Zn3: optimized geometry, PBE.

a = 3.653 Å, b = 3.653 Å, c = 11.106 Å
α = 90.00°, β = 90.00°, γ = 90.00°
Space group P4/mmm (No. 123)
Asymmetric unit:
1 Sr 0.000 0.000 0.000
2 Dy 0.000 0.000 0.344
3 Zn 0.500 0.500 0.196
4 Zn 0.500 0.500 0.500

Summary:
Formation enthalpy at 0 K, eV per atom: -0.28
Uncorrected energy, eV/atom: -2.734

No. 4
ScCd2: optimized geometry, PBE.

a = 5.110 Å, b = 5.110 Å, c = 3.219 Å
α = 90.00°, β = 90.00°, γ = 90.00°
Space group P4/mmm (No. 123)
Asymmetric unit:
1 Sc 0.000 0.000 0.000
2 Cd 0.000 0.500 0.500

Summary:
Formation enthalpy at 0 K, eV per atom: 0.04
Uncorrected energy, eV/atom: -2.676

No. 5
YCo3Ge3: optimized geometry, PBE.

a = 6.362 Å, b = 6.362 Å, c = 6.362 Å
α = 90.00°, β = 90.00°, γ = 90.00°
Space group Pm-3n (No. 223)
Asymmetric unit:
1 Y 0.000 0.000 0.000
2 Co 0.000 0.250 0.500
3 Ge 0.000 0.500 0.250

Summary:
Formation enthalpy at 0 K, eV per atom: 0.02
Uncorrected energy, eV/atom: -5.930
ΔE to the lowest computed polymorph, meV/atom: 347

No. 6
TiCd2Br: optimized geometry, PBE.

a = 7.399 Å, b = 7.399 Å, c = 7.399 Å
α = 90.00°, β = 90.00°, γ = 90.00°
Space group Fm-3m (No. 225)
Asymmetric unit:
1 Ti 0.000 0.000 0.000
2 Cd 0.250 0.250 0.250
3 Br 0.000 0.000 0.500

Summary:
Raw formation energy, eV/f.u.: 1.88
Uncorrected energy, eV/atom: -2.380
ΔE to the lowest computed polymorph, meV/atom: 290

No. 7
BaLa3H: optimized geometry, PBE.

a = 6.052 Å, b = 6.052 Å, c = 6.052 Å
α = 90.00°, β = 90.00°, γ = 90.00°
Space group Pm-3m (No. 221)
Asymmetric unit:
1 Ba 0.000 0.000 0.000
2 La 0.000 0.000 0.500
3 H 0.500 0.500 0.500

Summary:
Uncorrected energy, eV/atom: -2.726
ΔE to the lowest computed polymorph, meV/atom: 1340

No. 8
PRhBr: optimized geometry, PBE.

a = 2.963 Å, b = 2.963 Å, c = 13.488 Å
α = 90.00°, β = 90.00°, γ = 90.00°
Space group I4mm (No. 107)
Asymmetric unit:
1 P 0.000 0.000 0.000
2 Rh 0.000 0.000 0.589
3 Br 0.000 0.000 0.266

Summary:
Raw formation energy, eV/f.u.: 0.27
Uncorrected energy, eV/atom: -4.722
ΔE to the lowest computed polymorph, meV/atom: 356